[1]
Ce2HoP: optimized geometry, PBE.

Cell: 3.712 3.712 10.160 Å, 79.47 79.47 60.00°
Atoms (fractional coordinates):
Ho (0.000, 0.000, 0.000)
Ce (0.108, 0.108, 0.676)
Ce (0.892, 0.892, 0.324)
P (0.500, 0.500, 0.500)

## Properties
relative energy among the computed polymorphs: 0.161 eV per atom
energy of formation: -0.388 eV/atom
space-group type: R-3m (166)

***

[2]
NbZn2Ag: optimized geometry, PBE.

Cell: 3.553 4.296 4.296 Å, 90.00 90.00 90.00°
Atoms (fractional coordinates):
Nb (0.500, 0.500, 0.500)
Zn (0.000, 0.500, 0.000)
Zn (0.000, 0.000, 0.500)
Ag (0.500, 0.000, 0.000)

## Properties
energy of formation: 0.079 eV/atom
space-group type: P4/mmm (123)